## MgPIr2Pd (GGA-PBE)

Data for an optimized crystal structure of MgPIr2Pd.

**DOS(E_F)**: 5.15 states/eV/cell

Unit cell a=4.5525 b=4.4708 c=4.5525 alpha=90.00 beta=90.00 gamma=90.00
Site moments in Bohr magnetons follow the coordinates.
Sites, in units of the cell vectors:
P 0.0000 0.5000 0.0000  0.01
Pd 0.5000 0.5000 0.5000  0.27
Ir 0.5000 0.0000 0.0000  0.39
Ir 0.0000 0.0000 0.5000  0.33
Mg 0.0000 0.0000 0.0000  0.00


## NaMg2Tl10 (GGA-PBE)

Data for an optimized crystal structure of NaMg2Tl10.

**DOS(E_F)**: 6.94 states/eV/cell

Unit cell a=6.3885 b=8.4847 c=8.5050 alpha=81.87 beta=67.94 gamma=67.88
Sites, in units of the cell vectors:
Tl 0.6485 0.3594 0.3435
Tl 0.9921 0.3594 0.6565
Tl 0.5000 0.0000 0.5000
Tl 0.3515 0.6406 0.6565
Tl 0.4925 0.2195 0.7956
Tl 0.5075 0.7805 0.2044
Tl 0.0079 0.6406 0.3435
Tl 0.7120 0.7805 0.7956
Tl 0.2880 0.2195 0.2044
Tl 0.0000 0.0000 0.5000
Na 0.0000 0.0000 0.0000
Mg 0.0000 0.5000 0.0000
Mg 0.5000 0.5000 0.0000


## NaInAu (GGA-PBE)

Data for an optimized crystal structure of NaInAu.

**DOS(E_F)**: 3.39 states/eV/cell

Unit cell a=4.8471 b=4.8470 c=8.0186 alpha=90.00 beta=90.00 gamma=60.00
Sites, in units of the cell vectors:
Au 0.8215 0.2275 0.1226
Au 0.8215 0.2275 0.4555
In 0.4882 0.8941 0.2891
In 0.8216 0.2273 0.7891
Na 0.1549 0.5607 0.0251
Na 0.1550 0.5607 0.5531


## MnFeC2 (GGA-PBE)

Data for an optimized crystal structure of MnFeC2.

**DOS(E_F)**: 2.81 states/eV/cell

Unit cell a=3.4949 b=3.4949 c=3.4949 alpha=60.00 beta=60.00 gamma=60.00
Sites, in units of the cell vectors:
C 0.7500 0.7500 0.7500
C 0.2500 0.2500 0.2500
Fe 0.5000 0.5000 0.5000
Mn 0.0000 0.0000 0.0000


## SnHg3Pb (GGA-PBE)

Data for an optimized crystal structure of SnHg3Pb.

**Relative energy among the computed polymorphs**: 26.75 kJ per mole of atoms
**DOS(E_F)**: 3.49 states/eV/cell

Unit cell a=5.5844 b=5.5844 c=5.5844 alpha=90.00 beta=90.00 gamma=90.00
Sites, in units of the cell vectors:
Sn 0.0000 0.0000 0.0000
Hg 0.0000 0.0000 0.5000
Hg 0.0000 0.5000 0.0000
Hg 0.5000 0.0000 0.0000
Pb 0.5000 0.5000 0.5000


## La2PmPbC (GGA-PBE)

Data for an optimized crystal structure of La2PmPbC.

**DOS(E_F)**: 3.01 states/eV/cell

Unit cell a=5.1359 b=5.2258 c=5.2258 alpha=90.00 beta=90.00 gamma=90.00
Sites, in units of the cell vectors:
Pb 0.5000 0.5000 0.5000
La 0.0000 0.5000 0.0000
La 0.0000 0.0000 0.5000
C 0.0000 0.0000 0.0000
Pm 0.5000 0.0000 0.0000


Number 1: energy -4.40 eV per atom, formation enthalpy at 0 K 153 kJ/mol of atoms. Number 2: energy -2.15 eV per atom, formation enthalpy at 0 K 2 kJ/mol of atoms. Number 3: energy -2.59 eV per atom, formation enthalpy at 0 K -14 kJ/mol of atoms. Number 4: energy -8.17 eV per atom, formation enthalpy at 0 K 82 kJ/mol of atoms. Number 5: energy -1.38 eV per atom, formation enthalpy at 0 K 33 kJ/mol of atoms. Number 6: energy -5.93 eV per atom, formation enthalpy at 0 K -41 kJ/mol of atoms.